Cs2MnPI6 after structural relaxation, computed with PBE.

Unit cell a=8.557 b=8.557 c=8.557 alpha=122.31 beta=122.31 gamma=86.04
Sites, in units of the cell vectors:
1 Cs 0.250 0.750 0.500
2 Cs 0.750 0.250 0.500
3 Mn 0.000 0.000 0.000
4 P 0.500 0.500 0.000
5 I 0.215 0.215 0.000
6 I 0.262 0.262 0.524
7 I 0.262 0.738 0.000
8 I 0.738 0.262 0.000
9 I 0.738 0.738 0.476
10 I 0.785 0.785 0.000

Values from the calculation:
Calculated volume: 42.6 A^3/atom
Raw formation energy: -643 meV per atom
E_tot: -32.02 eV/cell